Record 1
Entry from Alexandria via LeMat-Bulk: crystalline SrMg2 at its relaxed geometry (PBE).

Calculated values
Uncorrected energy = -9.84 eV/cell

Geometry as POSCAR:
```
SrMg2
1.0
7.8712 0.1990 0.0000
-6.5856 4.3157 0.0000
0.0000 0.0000 5.4387
Mg Sr
4 2
direct
0.6091 0.3909 0.2500
0.3909 0.6091 0.7500
0.2422 0.7578 0.2500
0.7578 0.2422 0.7500
0.9117 0.0883 0.2500
0.0883 0.9117 0.7500
```


Record 2
Entry from Alexandria via LeMat-Bulk: crystalline La2Dy3Y6 at its relaxed geometry (PBE).

Calculated values
Uncorrected energy = -60.42 eV/cell

Geometry as POSCAR:
```
La2Dy3Y6
1.0
-4.8559 3.2909 -1.8549
-4.2346 -2.5620 -3.6626
-7.6014 -2.4263 8.7534
La Dy Y
2 3 6
direct
0.1672 0.6656 0.5000
0.8328 0.3344 0.5000
0.0000 0.0000 0.0000
0.3351 0.3298 0.0000
0.6649 0.6702 0.0000
0.4151 0.6670 0.7551
0.7481 0.0000 0.7551
0.0821 0.3330 0.7551
0.2519 0.0000 0.2449
0.5849 0.3330 0.2449
0.9179 0.6670 0.2449
```


| no. | energy of formation from the pure elements (meV per atom) | calculated density (g/cm3) |
| --- | --- | --- |
| 1 | -16.7 | 2.4 |
| 2 | 184.2 | 5.6 |